DFT (PBE) results for crystalline LaPr5Mg at its relaxed geometry.

Summary:
Crystal system ... tetragonal
V ... 36.62 Å³/atom
Uncorrected energy ... -29.48 eV per formula unit
Total magnetization ... 0.00 μB per formula unit

Cell: 5.2886 5.2886 9.1663 Å, 90.00 90.00 90.00°
Space group P4/mmm (No. 123)
Unique sites:
La1 0.0000 0.0000 0.0000 (multiplicity 1)
Pr1 0.0000 0.5000 0.2815 (multiplicity 4)
Pr2 0.5000 0.5000 0.0000 (multiplicity 1)
Mg1 0.5000 0.5000 0.5000 (multiplicity 1)